No. 1
DFT (PBE) results for a geometry-optimized PmBi3Pd3 structure.

Results
- total magnetic moment (μB per formula unit) = 0.0
- space-group type = Pm-3n, No. 223
- calculated formation energy (meV/atom) = 7
- total DFT energy (no corrections) (Ha/atom) = -0.16758
- theoretical density (kg/m3) = 8603

a = 7.496 Å, b = 7.496 Å, c = 7.496 Å
α = 90.00°, β = 90.00°, γ = 90.00°
Fractional coordinates of all 14 atoms:
1 Pm 0.000 0.000 0.000
2 Pm 0.500 0.500 0.500
3 Bi 0.000 0.250 0.500
4 Bi 0.000 0.750 0.500
5 Bi 0.250 0.500 0.000
6 Bi 0.500 0.000 0.250
7 Bi 0.500 0.000 0.750
8 Bi 0.750 0.500 0.000
9 Pd 0.000 0.500 0.250
10 Pd 0.000 0.500 0.750
11 Pd 0.250 0.000 0.500
12 Pd 0.500 0.250 0.000
13 Pd 0.500 0.750 0.000
14 Pd 0.750 0.000 0.500

No. 2
DFT (PBE) results for a geometry-optimized Pu2Si4AsPt3 structure.

Results
- total magnetic moment (μB per formula unit) = 10.9
- space-group type = P-4m2, No. 115
- total DFT energy (no corrections) (Ha/atom) = -0.29500
- theoretical density (kg/m3) = 11641

a = 4.307 Å, b = 4.307 Å, c = 9.692 Å
α = 90.00°, β = 90.00°, γ = 90.00°
Fractional coordinates of all 10 atoms:
1 Pu 0.000 0.500 0.248
2 Pu 0.500 0.000 0.752
3 Si 0.000 0.000 0.000
4 Si 0.000 0.500 0.639
5 Si 0.500 0.000 0.361
6 Si 0.500 0.500 0.000
7 As 0.000 0.000 0.500
8 Pt 0.000 0.500 0.881
9 Pt 0.500 0.000 0.119
10 Pt 0.500 0.500 0.500

No. 3
DFT (PBE) results for a geometry-optimized P2PtSO structure.

Results
- total magnetic moment (μB per formula unit) = 0.0
- offset from the most stable computed form (meV per atom) = 0
- space-group type = P4/mmm, No. 123
- total DFT energy (no corrections) (Ha/atom) = -0.17615
- theoretical density (kg/m3) = 7310

a = 4.598 Å, b = 4.598 Å, c = 3.278 Å
α = 90.00°, β = 90.00°, γ = 90.00°
Fractional coordinates of all 5 atoms:
1 P 0.000 0.500 0.000
2 P 0.500 0.000 0.000
3 Pt 0.000 0.000 0.500
4 S 0.500 0.500 0.000
5 O 0.500 0.500 0.500

No. 4
DFT (PBE) results for a geometry-optimized Ce3As4Pb structure.

Results
- total magnetic moment (μB per formula unit) = 1.9
- space-group type = Pm-3m, No. 221
- calculated formation energy (meV/atom) = -1030
- total DFT energy (no corrections) (Ha/atom) = -0.22210
- theoretical density (kg/m3) = 7054

a = 6.021 Å, b = 6.021 Å, c = 6.021 Å
α = 90.00°, β = 90.00°, γ = 90.00°
Fractional coordinates of all 8 atoms:
1 Ce 0.000 0.000 0.500
2 Ce 0.000 0.500 0.000
3 Ce 0.500 0.000 0.000
4 As 0.000 0.000 0.000
5 As 0.000 0.500 0.500
6 As 0.500 0.000 0.500
7 As 0.500 0.500 0.000
8 Pb 0.500 0.500 0.500

No. 5
DFT (PBE) results for a geometry-optimized Sr2IrPtC structure.

Results
- total magnetic moment (μB per formula unit) = 0.0
- space-group type = P4/mmm, No. 123
- calculated formation energy (meV/atom) = -243
- total DFT energy (no corrections) (Ha/atom) = -0.21097
- theoretical density (kg/m3) = 8383

a = 5.445 Å, b = 5.445 Å, c = 3.839 Å
α = 90.00°, β = 90.00°, γ = 90.00°
Fractional coordinates of all 5 atoms:
1 Sr 0.000 0.500 0.000
2 Sr 0.500 0.000 0.000
3 Ir 0.000 0.000 0.500
4 Pt 0.500 0.500 0.500
5 C 0.000 0.000 0.000

No. 6
DFT (PBE) results for a geometry-optimized Ho6MgTl2 structure.

Results
- total magnetic moment (μB per formula unit) = 0.0
- space-group type = C2/m, No. 12
- calculated formation energy (meV/atom) = 131
- total DFT energy (no corrections) (Ha/atom) = -0.13317
- theoretical density (kg/m3) = 8067

a = 8.962 Å, b = 8.962 Å, c = 5.120 Å
α = 106.54°, β = 106.54°, γ = 48.56°
Fractional coordinates of all 9 atoms:
1 Ho 0.083 0.586 0.334
2 Ho 0.250 0.750 0.000
3 Ho 0.414 0.917 0.666
4 Ho 0.586 0.083 0.334
5 Ho 0.750 0.250 0.000
6 Ho 0.917 0.414 0.666
7 Mg 0.000 0.000 0.500
8 Tl 0.332 0.332 0.832
9 Tl 0.668 0.668 0.168

no.,DOS(E_F) (states/eV per cell)
1,10.2
2,25.9
3,2.6
4,16.3
5,4.3
6,13.1